In2CuAsO: optimized geometry, GGA-PBE.

Results
ΔE_f (raw): -0.1955 eV/atom

Cell lengths 5.1131, 3.6928, 5.1131 Å; angles 90.00, 90.00, 90.00 degrees
Sites, in units of the cell vectors:
Cu 0.0000 0.5000 0.0000
In 0.0000 0.0000 0.5000
O 0.0000 0.0000 0.0000
As 0.5000 0.5000 0.5000
In 0.5000 0.0000 0.0000

=====

YMo: optimized geometry, GGA-PBE.

Results
E above lowest polymorph: 0.2686 eV per atom
E_form: 0.40 eV/atom

Cell lengths 7.7854, 7.7854, 5.1164 Å; angles 90.00, 90.00, 154.13 degrees
Sites, in units of the cell vectors:
Y 0.3818 0.6182 0.0000
Mo 0.0665 0.9335 0.0000
Y 0.8234 0.1766 0.5000
Mo 0.1802 0.8198 0.5000
Y 0.5317 0.4683 0.5000
Mo 0.6832 0.3168 0.0000

=====

Zr2Sc2Tl: optimized geometry, GGA-PBE.

Results
E above lowest polymorph: 0.2067 eV per atom
E_form: 0.08 eV/atom

Cell lengths 7.7572, 7.7572, 4.0068 Å; angles 90.00, 90.00, 90.00 degrees
Sites, in units of the cell vectors:
Zr 0.8631 0.6369 0.0000
Zr 0.6369 0.1369 0.0000
Tl 0.5000 0.5000 0.0000
Sc 0.1589 0.6589 0.5000
Zr 0.1369 0.3631 0.0000
Sc 0.3411 0.1589 0.5000
Sc 0.8411 0.3411 0.5000
Tl 0.0000 0.0000 0.0000
Sc 0.6589 0.8411 0.5000
Zr 0.3631 0.8631 0.0000

=====

no.,total moment (Bohr magnetons per cell)
1,0.00
2,0.00
3,0.00